CsCaNb2 after structural relaxation. Source: the Alexandria database, functional GGA-PBE.

a b c (Å): 4.1913 4.1913 12.3360
angles (deg): 80.22 80.22 90.00
Fractional positions:
Cs1 0.7500 0.2500 0.5000
Cs2 0.0000 0.0000 0.0000
Nb1 0.1449 0.1250 0.2500
Nb2 0.3750 0.8551 0.7500
Nb3 0.6051 0.6250 0.2500
Nb4 0.8750 0.3949 0.7500
Ca1 0.2500 0.7500 0.5000
Ca2 0.5000 0.5000 0.0000

Properties
Formation energy   1516 meV per atom
SG   I-42d (122)
Calculated volume   210.36 Å³/cell
Crystal system   tetragonal

=====

AcTbHoTl after structural relaxation. Source: the Alexandria database, functional GGA-PBE.

a b c (Å): 5.6218 5.6218 5.6218
angles (deg): 60.00 60.00 60.00
Site moments in Bohr magnetons follow the coordinates.
Fractional positions:
Tl1 0.0000 0.0000 0.0000  0.01
Tb1 0.2500 0.2500 0.2500  0.20
Ac1 0.5000 0.5000 0.5000  0.14
Ho1 0.7500 0.7500 0.7500  0.21

Properties
Formation energy   56 meV per atom
SG   F-43m (216)
Calculated volume   125.64 Å³/cell
Crystal system   cubic

=====

BeZn2Ag after structural relaxation. Source: the Alexandria database, functional GGA-PBE.

a b c (Å): 4.9261 4.9261 4.1773
angles (deg): 63.79 63.79 38.21
Fractional positions:
Zn1 0.0211 0.0211 0.9741
Zn2 0.2510 0.2510 0.2520
Ag1 0.4800 0.4800 0.5156
Be1 0.7478 0.7478 0.7583

Properties
Formation energy   127 meV per atom
SG   Cm (8)
Calculated volume   55.44 Å³/cell
Crystal system   monoclinic

=====

Ta3CuGe after structural relaxation. Source: the Alexandria database, functional GGA-PBE.

a b c (Å): 4.6160 4.6160 4.6160
angles (deg): 90.00 90.00 90.00
Fractional positions:
Ge1 0.5000 0.5000 0.5000
Ta1 0.5000 0.0000 0.0000
Ta2 0.0000 0.0000 0.5000
Ta3 0.0000 0.5000 0.0000
Cu1 0.0000 0.0000 0.0000

Properties
Formation energy   1119 meV per atom
SG   Pm-3m (221)
Calculated volume   98.35 Å³/cell
Crystal system   cubic
Polymorph energy (0 for the lowest one)   0 kJ/mol of formula units

=====

| no. | calculated total energy (eV per atom) |
| --- | --- |
| 1 | -4.23 |
| 2 | -3.86 |
| 3 | -2.15 |
| 4 | -7.73 |